Record 1
Here is a relaxed CaP2W crystal from the Alexandria database. Energies are from PBE-GGA.

The space group is I-4m2 (No. 119) and the conventional cell measures 3.7467, 3.7467 and 9.8622 Å, with angles of 90.00, 90.00 and 90.00 degrees. The inequivalent atoms are Ca at (0.0000, 0.0000, 0.0000), P at (0.0000, 0.0000, 0.5000), P at (0.0000, 0.5000, 0.7500) and W at (0.0000, 0.5000, 0.2500).

Its density of states at the Fermi level is 0.92 states/eV per atom. The calculation puts the spin magnetization at 0.0 μB/f.u. Its energy above the most stable polymorph in this dataset is 0.8503 eV/atom. The calculation puts the energy of formation at 0.2888 eV per atom.

---

Record 2
Here is a relaxed Fe2GeTe crystal from the Alexandria database. Energies are from PBE-GGA.

The space group is Fm-3m (No. 225) and the conventional cell measures 6.1903, 6.1903 and 6.1903 Å, with angles of 90.00, 90.00 and 90.00 degrees. The inequivalent atoms are Fe at (0.2500, 0.2500, 0.2500), Ge at (0.0000, 0.0000, 0.0000) and Te at (0.0000, 0.0000, 0.5000).

Its density of states at the Fermi level is 1.11 states/eV per atom. The calculation puts the spin magnetization at 2.8 μB/f.u. The formation energy without anion corrections comes out at 347 meV/atom. Its energy above the most stable polymorph in this dataset is 0.0000 eV/atom.

---

Record 3
Here is a relaxed BePt3 crystal from the Alexandria database. Energies are from PBE-GGA.

The space group is Cmmm (No. 65) and the conventional cell measures 5.4952, 7.4393 and 2.7961 Å, with angles of 90.00, 90.00 and 90.00 degrees. The inequivalent atoms are Be at (0.0000, 0.0000, 0.0000), Pt at (0.0000, 0.5000, 0.0000) and Pt at (0.2500, 0.2500, 0.5000).

Its density of states at the Fermi level is 0.55 states/eV per atom. The calculation puts the spin magnetization at 0.0 μB/f.u. The calculation puts the energy of formation at -0.2678 eV per atom.

---

Record 4
Here is a relaxed ZnInAuCl crystal from the Alexandria database. Energies are from PBE-GGA.

The space group is P1 (No. 1) and the conventional cell measures 3.3222, 3.4416 and 7.9897 Å, with angles of 102.32, 90.96 and 90.01 degrees. The inequivalent atoms are Zn at (0.0000, 0.0000, 0.0000), In at (0.9758, 0.7892, 0.5744), Au at (0.4883, 0.4125, 0.8254) and Cl at (0.5135, 0.1102, 0.2259).

Its density of states at the Fermi level is 0.30 states/eV per atom. The calculation puts the spin magnetization at 0.0 μB/f.u. The formation energy without anion corrections comes out at -352 meV/atom. Its energy above the most stable polymorph in this dataset is 0.0487 eV/atom.

---

Record 5
Here is a relaxed LiH2F2 crystal from the Alexandria database. Energies are from PBE-GGA.

The space group is P-3m1 (No. 164) and the conventional cell measures 3.0202, 3.0202 and 5.8221 Å, with angles of 90.00, 90.00 and 120.00 degrees. The inequivalent atoms are Li at (0.0000, 0.0000, 0.0000), H at (0.3333, 0.6667, 0.3645) and F at (0.3333, 0.6667, 0.1807).

Its density of states at the Fermi level is 0.09 states/eV per atom. The calculation puts the spin magnetization at 0.0 μB/f.u.

---

Record 6
Here is a relaxed Cs4AuCl3 crystal from the Alexandria database. Energies are from PBE-GGA.

The space group is Cmmm (No. 65) and the conventional cell measures 10.1831, 14.3175 and 5.0430 Å, with angles of 90.00, 90.00 and 90.00 degrees. The inequivalent atoms are Cs at (0.0000, 0.2461, 0.0000), Cs at (0.2412, 0.0000, 0.5000), Au at (0.0000, 0.5000, 0.0000), Cl at (0.0000, 0.0000, 0.0000) and Cl at (0.2500, 0.2500, 0.5000).

Its density of states at the Fermi level is 0.00 states/eV per atom. The calculation puts the spin magnetization at 0.0 μB/f.u. The formation energy without anion corrections comes out at -1552 meV/atom.

---

Record 7
Here is a relaxed BeRu2 crystal from the Alexandria database. Energies are from PBE-GGA.

The space group is Immm (No. 71) and the conventional cell measures 2.7016, 4.2398 and 6.6417 Å, with angles of 90.00, 90.00 and 90.00 degrees. The inequivalent atoms are Be at (0.0000, 0.0000, 0.0000) and Ru at (0.0000, 0.5000, 0.1829).

Its density of states at the Fermi level is 0.81 states/eV per atom. The calculation puts the spin magnetization at 0.0 μB/f.u. The calculation puts the energy of formation at 0.0727 eV per atom.

---

Record 8
Here is a relaxed MoAsIr2N crystal from the Alexandria database. Energies are from PBE-GGA.

The space group is P4/mmm (No. 123) and the conventional cell measures 4.0906, 4.0906 and 4.2194 Å, with angles of 90.00, 90.00 and 90.00 degrees. The inequivalent atoms are Mo at (0.0000, 0.0000, 0.0000), As at (0.5000, 0.5000, 0.0000), Ir at (0.0000, 0.5000, 0.5000) and N at (0.0000, 0.0000, 0.5000).

Its density of states at the Fermi level is 0.80 states/eV per atom. The calculation puts the spin magnetization at 0.0 μB/f.u. The formation energy without anion corrections comes out at 466 meV/atom.

---

Record 9
Here is a relaxed Sm4GeSbS2 crystal from the Alexandria database. Energies are from PBE-GGA.

The space group is P2/m (No. 10) and the conventional cell measures 7.2294, 4.2071 and 7.3228 Å, with angles of 90.00, 109.54 and 90.00 degrees. The inequivalent atoms are Sm at (0.2383, 0.0000, 0.2349), Sm at (0.2449, 0.5000, 0.7575), Ge at (0.5000, 0.0000, 0.0000), Sb at (0.5000, 0.5000, 0.5000), S at (0.0000, 0.0000, 0.5000) and S at (0.0000, 0.5000, 0.0000).

Its density of states at the Fermi level is 0.21 states/eV per atom. The calculation puts the spin magnetization at 0.0 μB/f.u. The formation energy without anion corrections comes out at -1513 meV/atom.

---

Record 10
Here is a relaxed SnBr2F crystal from the Alexandria database. Energies are from PBE-GGA.

The space group is R-3m (No. 166, hexagonal axes) and the conventional cell measures 4.1023, 4.1023 and 24.8567 Å, with angles of 90.00, 90.00 and 120.00 degrees. The inequivalent atoms are Sn at (0.0000, 0.0000, 0.0000), Br at (0.0000, 0.0000, 0.4075) and F at (0.0000, 0.0000, 0.5000).

Its density of states at the Fermi level is 0.56 states/eV per atom. The calculation puts the spin magnetization at 0.0 μB/f.u. The formation energy without anion corrections comes out at -549 meV/atom. Its energy above the most stable polymorph in this dataset is 0.5765 eV/atom.

---

Electronic total energy in eV/atom, matching the order above: -6.155, -5.824, -5.730, -2.636, -3.769, -3.081, -7.353, -7.839, -5.997, -2.854